# 1
! AgIrSe2Br, optimized geometry, DFT PBE; values from VASP
! density of states at the Fermi level = 5.4 states/eV/f.u.
! uncorrected formation energy = 0.46 eV per atom
! SG = P4/mmm
! offset from the most stable computed form = 0.00 eV/f.u.
&SYSTEM
  ibrav = 0, nat = 5, ntyp = 4
/
ATOMIC_SPECIES
Ag 107.87 Ag.upf
Ir 192.22 Ir.upf
Se 78.96 Se.upf
Br 79.90 Br.upf
CELL_PARAMETERS angstrom
4.8687 0.0000 0.0000
0.0000 4.8687 0.0000
0.0000 0.0000 5.3304
ATOMIC_POSITIONS angstrom
Ag 0.0000 0.0000 0.0000
Ir 2.4343 2.4343 2.6652
Se 0.0000 2.4343 2.6652
Se 2.4343 0.0000 2.6652
Br 2.4343 2.4343 0.0000


# 2
! AgIrSeBr2, optimized geometry, DFT PBE; values from VASP
! density of states at the Fermi level = 3.8 states/eV/f.u.
! uncorrected formation energy = 0.34 eV per atom
! SG = P4/mmm
! offset from the most stable computed form = 0.00 eV/f.u.
&SYSTEM
  ibrav = 0, nat = 5, ntyp = 4
/
ATOMIC_SPECIES
Ag 107.87 Ag.upf
Ir 192.22 Ir.upf
Se 78.96 Se.upf
Br 79.90 Br.upf
CELL_PARAMETERS angstrom
5.3344 0.0000 0.0000
0.0000 5.3344 0.0000
0.0000 0.0000 4.6651
ATOMIC_POSITIONS angstrom
Ag 0.0000 0.0000 0.0000
Ir 2.6672 2.6672 2.3326
Se 2.6672 2.6672 0.0000
Br 0.0000 2.6672 2.3326
Br 2.6672 0.0000 2.3326


# 3
! AgIrSeBr2, optimized geometry, DFT PBE; values from VASP
! density of states at the Fermi level = 7.1 states/eV/f.u.
! uncorrected formation energy = 1.27 eV per atom
! SG = P4/mmm
! offset from the most stable computed form = 4.69 eV/f.u.
&SYSTEM
  ibrav = 0, nat = 5, ntyp = 4
/
ATOMIC_SPECIES
Ag 107.87 Ag.upf
Ir 192.22 Ir.upf
Se 78.96 Se.upf
Br 79.90 Br.upf
CELL_PARAMETERS angstrom
5.0912 0.0000 0.0000
0.0000 5.0912 0.0000
0.0000 0.0000 5.2840
ATOMIC_POSITIONS angstrom
Ag 0.0000 0.0000 0.0000
Ir 2.5456 2.5456 2.6420
Se 0.0000 0.0000 2.6420
Br 0.0000 2.5456 0.0000
Br 2.5456 0.0000 0.0000


# 4
! SiAgIrBr2, optimized geometry, DFT PBE; values from VASP
! density of states at the Fermi level = 6.8 states/eV/f.u.
! uncorrected formation energy = 1.45 eV per atom
! SG = P4/mmm
&SYSTEM
  ibrav = 0, nat = 5, ntyp = 4
/
ATOMIC_SPECIES
Si 28.09 Si.upf
Ag 107.87 Ag.upf
Ir 192.22 Ir.upf
Br 79.90 Br.upf
CELL_PARAMETERS angstrom
5.2154 0.0000 0.0000
0.0000 5.2154 0.0000
0.0000 0.0000 4.9209
ATOMIC_POSITIONS angstrom
Si 0.0000 0.0000 0.0000
Ag 0.0000 0.0000 2.4604
Ir 2.6077 2.6077 0.0000
Br 0.0000 2.6077 2.4604
Br 2.6077 0.0000 2.4604


# 5
! Si2AgIrBr, optimized geometry, DFT PBE; values from VASP
! density of states at the Fermi level = 4.1 states/eV/f.u.
! uncorrected formation energy = 1.78 eV per atom
! SG = P4/mmm
&SYSTEM
  ibrav = 0, nat = 5, ntyp = 4
/
ATOMIC_SPECIES
Si 28.09 Si.upf
Ag 107.87 Ag.upf
Ir 192.22 Ir.upf
Br 79.90 Br.upf
CELL_PARAMETERS angstrom
4.8705 0.0000 0.0000
0.0000 4.8705 0.0000
0.0000 0.0000 4.7860
ATOMIC_POSITIONS angstrom
Si 0.0000 2.4353 0.0000
Si 2.4353 0.0000 0.0000
Ag 0.0000 0.0000 2.3930
Ir 2.4353 2.4353 2.3930
Br 0.0000 0.0000 0.0000


# 6
! Sm6AgIr2Br3, optimized geometry, DFT PBE; values from VASP
! density of states at the Fermi level = 7.8 states/eV/f.u.
! uncorrected formation energy = -0.97 eV per atom
! SG = C2/m
&SYSTEM
  ibrav = 0, nat = 12, ntyp = 4
/
ATOMIC_SPECIES
Sm 150.36 Sm.upf
Ag 107.87 Ag.upf
Ir 192.22 Ir.upf
Br 79.90 Br.upf
CELL_PARAMETERS angstrom
3.6187 -6.2737 0.0000
3.6187 6.2737 0.0000
-2.4037 0.0000 7.7239
ATOMIC_POSITIONS angstrom
Sm -0.0798 2.2398 6.1833
Sm 1.0317 0.0000 1.5345
Sm -0.0798 -2.2398 6.1833
Sm 4.9136 2.2398 1.5406
Sm 3.8021 0.0000 6.1894
Sm 4.9136 -2.2398 1.5406
Ag 3.6187 0.0000 0.0000
Ir 3.6187 4.1811 0.0000
Ir 3.6187 -4.1811 0.0000
Br -1.2018 0.0000 3.8619
Br 2.4169 2.1098 3.8619
Br 2.4169 -2.1098 3.8619


# 7
! TaAg2IrBr, optimized geometry, DFT PBE; values from VASP
! density of states at the Fermi level = 6.3 states/eV/f.u.
! uncorrected formation energy = 1.36 eV per atom
! SG = P4/mmm
&SYSTEM
  ibrav = 0, nat = 5, ntyp = 4
/
ATOMIC_SPECIES
Ta 180.95 Ta.upf
Ag 107.87 Ag.upf
Ir 192.22 Ir.upf
Br 79.90 Br.upf
CELL_PARAMETERS angstrom
5.3834 0.0000 0.0000
0.0000 5.3834 0.0000
0.0000 0.0000 4.6825
ATOMIC_POSITIONS angstrom
Ta 0.0000 0.0000 0.0000
Ag 0.0000 2.6917 0.0000
Ag 2.6917 0.0000 0.0000
Ir 0.0000 0.0000 2.3413
Br 2.6917 2.6917 2.3413


# 8
! TlAg2IrBr6, optimized geometry, DFT PBE; values from VASP
! uncorrected formation energy = -0.36 eV per atom
! SG = P1
&SYSTEM
  ibrav = 0, nat = 10, ntyp = 4
/
ATOMIC_SPECIES
Tl 204.38 Tl.upf
Ag 107.87 Ag.upf
Ir 192.22 Ir.upf
Br 79.90 Br.upf
CELL_PARAMETERS angstrom
7.1978 0.0000 0.0000
3.5939 6.2595 0.0000
3.5847 -2.0530 6.5716
ATOMIC_POSITIONS angstrom
Tl 0.0000 0.0000 0.0000
Ag 7.2012 4.1964 0.9758
Ag 7.1882 0.0167 3.5785
Ir 10.7904 2.1085 3.6589
Br 5.5676 1.8370 5.1674
Br 4.6874 3.9025 2.2370
Br 4.6011 0.2730 2.2288
Br 10.0309 3.9513 5.1685
Br 9.5629 0.5257 5.1545
Br 8.7000 2.1594 2.2223


# 9
! TlAg2IrBr8, optimized geometry, DFT PBE; values from VASP
! density of states at the Fermi level = 1.3 states/eV/f.u.
! uncorrected formation energy = -0.36 eV per atom
! SG = P-1
&SYSTEM
  ibrav = 0, nat = 12, ntyp = 4
/
ATOMIC_SPECIES
Tl 204.38 Tl.upf
Ag 107.87 Ag.upf
Ir 192.22 Ir.upf
Br 79.90 Br.upf
CELL_PARAMETERS angstrom
6.4206 0.0000 0.0000
0.3483 7.2202 0.0000
0.0003 0.0018 8.1158
ATOMIC_POSITIONS angstrom
Tl 0.0000 0.0000 0.0000
Ag 0.1811 3.6117 2.0281
Ag 6.5882 3.6103 6.0877
Ir 0.0002 0.0009 4.0579
Br 1.4613 2.0519 4.0587
Br 1.7844 6.1804 2.2993
Br 1.7828 6.1798 5.8169
Br 1.6549 2.2895 8.1136
Br 5.1144 4.9325 0.0022
Br 4.9865 1.0422 2.2988
Br 4.9849 1.0416 5.8165
Br 5.3080 5.1700 4.0570


# 10
! Tl2AgIrBr, optimized geometry, DFT PBE; values from VASP
! density of states at the Fermi level = 2.8 states/eV/f.u.
! uncorrected formation energy = 1.01 eV per atom
! SG = P4/mmm
&SYSTEM
  ibrav = 0, nat = 5, ntyp = 4
/
ATOMIC_SPECIES
Tl 204.38 Tl.upf
Ag 107.87 Ag.upf
Ir 192.22 Ir.upf
Br 79.90 Br.upf
CELL_PARAMETERS angstrom
5.6236 0.0000 0.0000
0.0000 5.6236 0.0000
0.0000 0.0000 5.1319
ATOMIC_POSITIONS angstrom
Tl 0.0000 2.8118 0.0000
Tl 2.8118 0.0000 0.0000
Ag 0.0000 0.0000 0.0000
Ir 2.8118 2.8118 2.5660
Br 0.0000 0.0000 2.5660


# 11
! KAg2Br, optimized geometry, DFT PBE; values from VASP
! density of states at the Fermi level = 0.8 states/eV/f.u.
! uncorrected formation energy = -0.41 eV per atom
! SG = Pmm2
! offset from the most stable computed form = 0.05 eV/f.u.
&SYSTEM
  ibrav = 0, nat = 4, ntyp = 3
/
ATOMIC_SPECIES
K 39.10 K.upf
Ag 107.87 Ag.upf
Br 79.90 Br.upf
CELL_PARAMETERS angstrom
3.9739 0.0000 0.0000
0.0000 3.9902 0.0000
0.0000 0.0000 7.7487
ATOMIC_POSITIONS angstrom
K 0.0000 0.0000 0.0000
Ag 0.0000 0.0000 4.4076
Ag 1.9870 1.9951 4.2646
Br 1.9870 1.9951 1.3922


# 12
! K2AgBr4, optimized geometry, DFT PBE; values from VASP
! density of states at the Fermi level = 4.5 states/eV/f.u.
! uncorrected formation energy = -1.07 eV per atom
! SG = I4/mmm
! offset from the most stable computed form = 0.22 eV/f.u.
&SYSTEM
  ibrav = 0, nat = 7, ntyp = 3
/
ATOMIC_SPECIES
K 39.10 K.upf
Ag 107.87 Ag.upf
Br 79.90 Br.upf
CELL_PARAMETERS angstrom
-2.6810 2.6810 8.4067
2.6810 -2.6810 8.4067
2.6810 2.6810 -8.4067
ATOMIC_POSITIONS angstrom
K 0.0000 0.0000 2.3324
K 0.0000 0.0000 14.4811
Ag 0.0000 0.0000 8.4067
Br 2.6810 0.0000 0.0000
Br 0.0000 0.0000 5.6220
Br 0.0000 2.6810 0.0000
Br 0.0000 0.0000 11.1915


# 13
! KAgBr, optimized geometry, DFT PBE; values from VASP
! density of states at the Fermi level = 0.6 states/eV/f.u.
! uncorrected formation energy = -0.53 eV per atom
! SG = P4/nmm
! offset from the most stable computed form = 0.00 eV/f.u.
&SYSTEM
  ibrav = 0, nat = 6, ntyp = 3
/
ATOMIC_SPECIES
K 39.10 K.upf
Ag 107.87 Ag.upf
Br 79.90 Br.upf
CELL_PARAMETERS angstrom
6.4820 0.0000 0.0000
0.0000 6.4820 0.0000
0.0000 0.0000 5.6121
ATOMIC_POSITIONS angstrom
K 1.6205 4.8615 0.0000
K 4.8615 1.6205 0.0000
Ag 1.6205 1.6205 2.7762
Ag 4.8615 4.8615 2.8359
Br 1.6205 1.6205 5.5802
Br 4.8615 4.8615 0.0319